1.
DFT (PBE-GGA) results for ScMnGa after structural relaxation.

```
ScMnGa
1.0
4.507 0.000 2.530
1.613 4.259 2.406
0.072 0.046 5.150
Sc Mn Ga
2 2 2
direct
0.882 0.368 0.368
0.118 0.632 0.632
0.000 0.000 0.000
0.500 0.000 0.000
0.500 0.500 0.000
0.500 0.000 0.500
```

The density of states at the Fermi level is 1.110 states/eV per atom. The calculation puts the spin magnetization at 0.6782 μB/atom. Its formation energy is -8.0 kcal/mol of atoms. Its space group is No. 74.

***

2.
DFT (PBE-GGA) results for Hf2Sc2Ag after structural relaxation.

```
Hf2Sc2Ag
1.0
-1.833 -6.556 1.951
-1.713 -1.516 -6.702
4.257 -1.419 -0.767
Sc Hf Ag
4 4 2
direct
0.353 0.853 0.000
0.853 0.647 0.000
0.647 0.147 0.000
0.147 0.353 0.000
0.149 0.649 0.500
0.649 0.851 0.500
0.851 0.351 0.500
0.351 0.149 0.500
0.000 0.000 0.000
0.500 0.500 0.000
```

The density of states at the Fermi level is 1.080 states/eV per atom. The calculation puts the spin magnetization at 0.0000 μB/atom. Its formation energy is 5.7 kcal/mol of atoms. Its space group is No. 127.

***

3.
DFT (PBE-GGA) results for AlFeSi2 after structural relaxation.

```
AlFeSi2
1.0
4.383 -0.015 0.002
3.470 2.677 0.002
0.468 0.159 4.294
Si Fe Al
2 1 1
direct
0.988 0.988 0.019
0.747 0.747 0.764
0.256 0.256 0.223
0.508 0.508 0.493
```

The density of states at the Fermi level is 0.450 states/eV per atom. For the formation energy (no corrections), the calculation gives -0.035 eV per atom. The calculation puts the spin magnetization at 0.0000 μB/atom. Its space group is No. 8.

***

4.
DFT (PBE-GGA) results for Y2BePC after structural relaxation.

```
Y2BePC
1.0
4.929 0.000 0.000
0.000 4.929 0.000
0.000 0.000 3.490
Y P C Be
2 1 1 1
direct
0.000 0.500 0.000
0.500 0.000 0.000
0.500 0.500 0.500
0.000 0.000 0.000
0.000 0.000 0.500
```

The density of states at the Fermi level is 0.547 states/eV per atom. The calculation puts the spin magnetization at 0.0000 μB/atom. Its formation energy is -15.1 kcal/mol of atoms. Its space group is No. 123.

***

5.
DFT (PBE-GGA) results for PmCdInHg after structural relaxation.

```
PmCdInHg
1.0
-1.273 4.627 0.218
-3.710 -1.154 2.825
5.032 -1.205 2.031
Pm Cd In Hg
1 1 1 1
direct
0.750 0.250 0.500
0.500 0.500 0.000
0.250 0.750 0.500
0.000 0.000 0.000
```

The density of states at the Fermi level is 0.534 states/eV per atom. The calculation puts the spin magnetization at 0.0000 μB/atom. Its formation energy is -7.7 kcal/mol of atoms. Its space group is No. 119.

***

6.
DFT (PBE-GGA) results for Li12Hg3Pt5 after structural relaxation.

```
Li12Hg3Pt5
1.0
13.176 0.000 0.000
-4.392 12.423 0.000
-4.392 -6.211 10.759
Hg Pt Li
12 20 48
direct
0.750 0.375 0.125
0.875 0.750 0.125
0.375 0.750 0.625
0.250 0.125 0.375
0.875 0.125 0.250
0.375 0.625 0.250
0.625 0.375 0.750
0.125 0.875 0.750
0.750 0.875 0.625
0.625 0.250 0.375
0.125 0.250 0.875
0.250 0.625 0.875
0.125 0.375 0.250
0.000 0.500 0.000
0.000 0.000 0.000
0.375 0.250 0.125
0.500 0.000 0.500
0.500 0.500 0.000
0.125 0.750 0.375
0.750 0.125 0.875
0.750 0.625 0.375
0.375 0.125 0.750
0.625 0.875 0.250
0.500 0.500 0.500
0.500 0.000 0.000
0.000 0.000 0.500
0.250 0.375 0.625
0.250 0.875 0.125
0.000 0.500 0.500
0.875 0.250 0.625
0.625 0.750 0.875
0.875 0.625 0.750
0.707 0.104 0.031
0.324 0.531 0.427
0.969 0.396 0.293
0.531 0.207 0.104
0.603 0.707 0.676
0.969 0.573 0.176
0.324 0.793 0.397
0.073 0.897 0.104
0.573 0.969 0.676
0.707 0.603 0.176
0.793 0.469 0.396
0.824 0.927 0.031
0.104 0.707 0.531
0.396 0.427 0.103
0.103 0.927 0.396
0.397 0.104 0.573
0.103 0.176 0.207
0.469 0.676 0.073
0.824 0.897 0.293
0.104 0.397 0.073
0.396 0.969 0.793
0.573 0.604 0.397
0.927 0.824 0.531
0.793 0.324 0.897
0.427 0.396 0.603
0.073 0.176 0.469
0.207 0.676 0.103
0.176 0.103 0.707
0.604 0.031 0.207
0.896 0.603 0.927
0.531 0.324 0.927
0.603 0.896 0.427
0.897 0.824 0.793
0.897 0.073 0.604
0.896 0.293 0.469
0.176 0.073 0.969
0.604 0.573 0.897
0.427 0.031 0.324
0.293 0.397 0.824
0.207 0.531 0.604
0.927 0.103 0.896
0.676 0.207 0.603
0.469 0.793 0.896
0.031 0.427 0.824
0.397 0.293 0.324
0.031 0.604 0.707
0.676 0.469 0.573
0.293 0.896 0.969
```

The density of states at the Fermi level is 0.225 states/eV per atom. The calculation puts the spin magnetization at 0.0000 μB/atom. Its formation energy is 0.4 kcal/mol of atoms. Its space group is No. 230.

***

7.
DFT (PBE-GGA) results for AcGdScTl after structural relaxation.

```
AcGdScTl
1.0
5.530 0.000 0.000
2.765 4.789 0.000
2.765 1.596 4.515
Sc Ac Gd Tl
1 1 1 1
direct
0.000 0.000 0.000
0.250 0.250 0.250
0.500 0.500 0.500
0.750 0.750 0.750
```

The density of states at the Fermi level is 1.445 states/eV per atom. The calculation puts the spin magnetization at 2.2385 μB/atom. Its formation energy is 1.0 kcal/mol of atoms. Its space group is No. 216.

***

8.
DFT (PBE-GGA) results for PuAgO4 after structural relaxation.

```
PuAgO4
1.0
5.680 0.343 -2.129
-2.814 5.022 -1.943
0.003 -0.287 6.202
Pu Ag O
2 2 8
direct
0.500 0.500 0.500
0.000 0.500 0.000
0.250 0.000 0.750
0.750 0.000 0.250
0.759 0.683 0.941
0.747 0.247 0.000
0.753 0.753 0.500
0.741 0.317 0.559
0.259 0.683 0.441
0.253 0.753 0.000
0.247 0.247 0.500
0.241 0.317 0.059
```

The density of states at the Fermi level is 0.538 states/eV per atom. For the formation energy (no corrections), the calculation gives -1.707 eV per atom. The calculation puts the spin magnetization at 0.1705 μB/atom. Its space group is No. 12.

***

9.
DFT (PBE-GGA) results for TaTi2NbN after structural relaxation.

```
TaTi2NbN
1.0
4.139 0.000 0.000
0.000 4.382 0.000
0.000 0.000 4.139
N Nb Ti Ta
1 1 2 1
direct
0.000 0.000 0.000
0.500 0.500 0.500
0.000 0.000 0.500
0.500 0.000 0.000
0.000 0.500 0.000
```

The density of states at the Fermi level is 0.685 states/eV per atom. For the formation energy (no corrections), the calculation gives -0.662 eV per atom. The calculation puts the spin magnetization at 0.0000 μB/atom. Its space group is No. 123.

***

10.
DFT (PBE-GGA) results for MgNp4Ga12 after structural relaxation.

```
MgNp4Ga12
1.0
7.116 0.000 -2.516
-3.558 6.163 -2.516
0.000 0.000 7.548
Mg Np Ga
1 4 12
direct
0.000 0.000 0.000
0.000 0.000 0.500
0.500 0.000 0.000
0.500 0.500 0.500
0.000 0.500 0.000
0.000 0.307 0.307
0.000 0.693 0.693
0.693 0.693 0.000
0.307 0.307 0.000
0.307 0.000 0.307
0.693 0.000 0.693
0.500 0.250 0.750
0.500 0.750 0.250
0.750 0.250 0.500
0.250 0.750 0.500
0.750 0.500 0.250
0.250 0.500 0.750
```

The density of states at the Fermi level is 1.974 states/eV per atom. The calculation puts the spin magnetization at 0.9613 μB/atom. Its formation energy is -4.1 kcal/mol of atoms. Its space group is No. 229.

***

11.
DFT (PBE-GGA) results for Si2HgNO after structural relaxation.

```
Si2HgNO
1.0
-2.976 -2.268 1.787
2.094 0.015 3.507
-1.954 3.472 1.152
Si Hg O N
2 1 1 1
direct
0.000 0.000 0.500
0.500 0.000 0.000
0.500 0.500 0.500
0.000 0.000 0.000
0.000 0.500 0.000
```

The density of states at the Fermi level is 0.494 states/eV per atom. For the formation energy (no corrections), the calculation gives 1.004 eV per atom. The calculation puts the spin magnetization at 0.0000 μB/atom. Its space group is No. 123.

***

12.
DFT (PBE-GGA) results for TiGaI2O after structural relaxation.

```
TiGaI2O
1.0
5.770 0.000 0.000
0.000 5.770 0.000
0.000 0.000 3.641
I O Ga Ti
2 1 1 1
direct
0.000 0.500 0.000
0.500 0.000 0.000
0.000 0.000 0.500
0.000 0.000 0.000
0.500 0.500 0.500
```

The density of states at the Fermi level is 0.514 states/eV per atom. For the formation energy (no corrections), the calculation gives -0.224 eV per atom. The calculation puts the spin magnetization at 0.5339 μB/atom. Its space group is No. 123.

***

Number 1: raw total energy -6.5247 eV/atom. Number 2: raw total energy -6.8369 eV/atom. Number 3: raw total energy -5.7977 eV/atom. Number 4: raw total energy -6.9125 eV/atom. Number 5: raw total energy -2.5085 eV/atom. Number 6: raw total energy -2.6867 eV/atom. Number 7: raw total energy -6.6768 eV/atom. Number 8: raw total energy -7.8759 eV/atom. Number 9: raw total energy -9.8698 eV/atom. Number 10: raw total energy -5.4522 eV/atom. Number 11: raw total energy -3.8827 eV/atom. Number 12: raw total energy -4.0202 eV/atom.